# Ho12TmCo5

A relaxed Ho12TmCo5 crystal (PBE-GGA, Alexandria via LeMat-Bulk).

Cell: 8.3161 8.3161 8.3161 Å, 111.14 110.50 106.81°
Atoms (fractional coordinates):
Ho 0.0111 0.2024 0.8088
Ho 0.1826 0.2918 0.4743
Ho 0.1826 0.7082 0.8908
Ho 0.3144 0.0028 0.6884
Ho 0.3144 0.6259 0.3116
Ho 0.3936 0.2024 0.1912
Ho 0.6064 0.7976 0.8088
Ho 0.6856 0.3741 0.6884
Ho 0.6856 0.9972 0.3116
Ho 0.8174 0.2918 0.1092
Ho 0.8174 0.7082 0.5257
Ho 0.9889 0.7976 0.1912
Tm 0.5000 0.5000 0.0000
Co 0.0000 0.0000 0.0000
Co 0.1128 0.6128 0.5000
Co 0.3746 0.0000 0.3746
Co 0.6254 0.0000 0.6254
Co 0.8872 0.3872 0.5000

## Properties
Magnetic moment in Bohr magnetons per cell: 0.0
Theoretical density in g/cm3: 9.2
Formation energy from the elements in meV per atom: -133

=====

# Sm6Er3Sc

A relaxed Sm6Er3Sc crystal (PBE-GGA, Alexandria via LeMat-Bulk).

Cell: 11.0024 11.0024 6.1779 Å, 90.00 90.00 120.14°
Atoms (fractional coordinates):
Sm 0.0452 0.9548 0.5000
Sm 0.0547 0.4782 0.9230
Sm 0.2759 0.7241 0.2235
Sm 0.2892 0.3792 0.1123
Sm 0.3792 0.2892 0.6123
Sm 0.4782 0.0547 0.4230
Sm 0.5218 0.9453 0.9230
Sm 0.6208 0.7108 0.1123
Sm 0.7108 0.6208 0.6123
Sm 0.7241 0.2759 0.7235
Sm 0.9453 0.5218 0.4230
Sm 0.9548 0.0452 0.0000
Er 0.0527 0.2739 0.5343
Er 0.2739 0.0527 0.0343
Er 0.3867 0.6133 0.6415
Er 0.6133 0.3867 0.1415
Er 0.7261 0.9473 0.5343
Er 0.9473 0.7261 0.0343
Sc 0.2017 0.7983 0.6959
Sc 0.7983 0.2017 0.1959

## Properties
Magnetic moment in Bohr magnetons per cell: 0.0
Distance to the lowest polymorph of the same formula in meV per atom: 0
Theoretical density in g/cm3: 7.4
Formation energy from the elements in meV per atom: 140

=====

# Sc3ReAu

A relaxed Sc3ReAu crystal (PBE-GGA, Alexandria via LeMat-Bulk).

Cell: 4.9989 4.9989 4.9989 Å, 90.00 90.00 90.00°
Atoms (fractional coordinates):
Sc 0.0000 0.0000 0.5000
Sc 0.0000 0.5000 0.0000
Sc 0.5000 0.0000 0.0000
Re 0.0000 0.0000 0.0000
Au 0.5000 0.5000 0.5000

## Properties
Magnetic moment in Bohr magnetons per cell: 0.0
Distance to the lowest polymorph of the same formula in meV per atom: 0
Theoretical density in g/cm3: 6.9
Formation energy from the elements in meV per atom: 211

=====

# Ni2H2Rh

A relaxed Ni2H2Rh crystal (PBE-GGA, Alexandria via LeMat-Bulk).

Cell: 5.9204 5.9204 5.9204 Å, 153.30 153.30 38.12°
Atoms (fractional coordinates):
Ni 0.1605 0.1605 0.0000
Ni 0.8395 0.8395 0.0000
H 0.2500 0.7500 0.5000
H 0.7500 0.2500 0.5000
Rh 0.5000 0.5000 0.0000

## Properties
Magnetic moment in Bohr magnetons per cell: 0.2
Distance to the lowest polymorph of the same formula in meV per atom: 21
Theoretical density in g/cm3: 8.8

=====

Calculated calculated total energy (Ry per atom), listed in the same order as above: -0.397 -0.345 -0.495 -0.373